KTmInTe3: relaxed, PBE.

Values from the calculation:
E (eV per atom): -3.8158
Symmetry: No. 63

Cell and atoms, written as POSCAR:
```
KTmInTe3
1.0
-6.713 2.552 4.356
3.507 -5.765 -5.001
3.984 -5.901 9.596
Te K Tm In
6 2 2 2
direct
0.071 0.929 0.750
0.371 0.629 0.969
0.629 0.371 0.469
0.371 0.629 0.531
0.929 0.071 0.250
0.629 0.371 0.031
0.756 0.244 0.750
0.244 0.756 0.250
0.000 0.000 0.000
0.000 0.000 0.500
0.543 0.457 0.250
0.457 0.543 0.750
```